Record 1
The following is a PBE-GGA calculation of a relaxed RbRe3Ru crystal, from Alexandria.

Summary:
- total moment (μB/atom) = 0.00
- E_form (eV/f.u.) = 21.1
- calculated density (Mg/m³) = 12.9
- offset from the most stable computed form (meV/atom) = 1940.7

Structure (CIF):
```
data_RbRe3Ru
_chemical_formula_sum 'Rb1 Re3 Ru1'
_cell_length_a 4.5747
_cell_length_b 4.5747
_cell_length_c 4.5747
_cell_angle_alpha 90.00
_cell_angle_beta 90.00
_cell_angle_gamma 90.00
_symmetry_space_group_name_H-M 'P m -3 m'
_symmetry_Int_Tables_number 221
_symmetry_space_group_name_Hall '-P 4 2 3'
loop_
_atom_site_label
_atom_site_type_symbol
_atom_site_fract_x
_atom_site_fract_y
_atom_site_fract_z
Rb1 Rb 0.0000 0.0000 0.0000
Re1 Re 0.0000 0.0000 0.5000
Ru1 Ru 0.5000 0.5000 0.5000
```

Record 2
The following is a PBE-GGA calculation of a relaxed RbReRuSe2 crystal, from Alexandria.

Summary:
- total moment (μB/atom) = 0.07
- formation energy (no corrections) (meV per atom) = 3291
- calculated density (Mg/m³) = 6.1

Structure (CIF):
```
data_RbReRuSe2
_chemical_formula_sum 'Rb1 Re1 Ru1 Se2'
_cell_length_a 5.4011
_cell_length_b 5.4011
_cell_length_c 4.9748
_cell_angle_alpha 90.00
_cell_angle_beta 90.00
_cell_angle_gamma 90.00
_symmetry_space_group_name_H-M 'P 4/m m m'
_symmetry_Int_Tables_number 123
_symmetry_space_group_name_Hall '-P 4 2'
loop_
_atom_site_label
_atom_site_type_symbol
_atom_site_fract_x
_atom_site_fract_y
_atom_site_fract_z
Rb1 Rb 0.0000 0.0000 0.0000
Re1 Re 0.0000 0.0000 0.5000
Ru1 Ru 0.5000 0.5000 0.5000
Se1 Se 0.0000 0.5000 0.0000
```

Record 3
The following is a PBE-GGA calculation of a relaxed RbReSiRu2 crystal, from Alexandria.

Summary:
- total moment (μB/atom) = 0.00
- formation energy (no corrections) (meV per atom) = 1220
- calculated density (Mg/m³) = 7.4

Structure (CIF):
```
data_RbReSiRu2
_chemical_formula_sum 'Rb1 Re1 Si1 Ru2'
_cell_length_a 4.8342
_cell_length_b 4.8342
_cell_length_c 4.8198
_cell_angle_alpha 90.00
_cell_angle_beta 90.00
_cell_angle_gamma 90.00
_symmetry_space_group_name_H-M 'P 4/m m m'
_symmetry_Int_Tables_number 123
_symmetry_space_group_name_Hall '-P 4 2'
loop_
_atom_site_label
_atom_site_type_symbol
_atom_site_fract_x
_atom_site_fract_y
_atom_site_fract_z
Rb1 Rb 0.0000 0.0000 0.0000
Re1 Re 0.5000 0.5000 0.5000
Si1 Si 0.5000 0.5000 0.0000
Ru1 Ru 0.0000 0.5000 0.5000
```

Record 4
The following is a PBE-GGA calculation of a relaxed RbRe2TeRu crystal, from Alexandria.

Summary:
- total moment (μB/atom) = 0.63
- formation energy (no corrections) (meV per atom) = 1859
- calculated density (Mg/m³) = 8.5

Structure (CIF):
```
data_RbRe2TeRu
_chemical_formula_sum 'Rb1 Re2 Te1 Ru1'
_cell_length_a 4.7603
_cell_length_b 4.7603
_cell_length_c 5.9055
_cell_angle_alpha 90.00
_cell_angle_beta 90.00
_cell_angle_gamma 90.00
_symmetry_space_group_name_H-M 'P 4/m m m'
_symmetry_Int_Tables_number 123
_symmetry_space_group_name_Hall '-P 4 2'
loop_
_atom_site_label
_atom_site_type_symbol
_atom_site_fract_x
_atom_site_fract_y
_atom_site_fract_z
Rb1 Rb 0.0000 0.0000 0.0000
Re1 Re 0.0000 0.5000 0.5000
Te1 Te 0.5000 0.5000 0.0000
Ru1 Ru 0.0000 0.0000 0.5000
```

Record 5
The following is a PBE-GGA calculation of a relaxed RbTiReRu2 crystal, from Alexandria.

Summary:
- total moment (μB/atom) = 0.00
- E_form (eV/f.u.) = 15.6
- calculated density (Mg/m³) = 8.6

Structure (CIF):
```
data_RbTiReRu2
_chemical_formula_sum 'Rb1 Ti1 Re1 Ru2'
_cell_length_a 4.5921
_cell_length_b 4.5921
_cell_length_c 4.7506
_cell_angle_alpha 90.00
_cell_angle_beta 90.00
_cell_angle_gamma 90.00
_symmetry_space_group_name_H-M 'P 4/m m m'
_symmetry_Int_Tables_number 123
_symmetry_space_group_name_Hall '-P 4 2'
loop_
_atom_site_label
_atom_site_type_symbol
_atom_site_fract_x
_atom_site_fract_y
_atom_site_fract_z
Rb1 Rb 0.0000 0.0000 0.0000
Ti1 Ti 0.5000 0.5000 0.5000
Re1 Re 0.0000 0.0000 0.5000
Ru1 Ru 0.0000 0.5000 0.0000
```

Record 6
The following is a PBE-GGA calculation of a relaxed Rb2TlReRu crystal, from Alexandria.

Summary:
- total moment (μB/atom) = 1.17
- E_form (eV/f.u.) = 10.5
- calculated density (Mg/m³) = 4.8

Structure (CIF):
```
data_Rb2TlReRu
_chemical_formula_sum 'Rb2 Tl1 Re1 Ru1'
_cell_length_a 6.5222
_cell_length_b 6.5222
_cell_length_c 5.3518
_cell_angle_alpha 90.00
_cell_angle_beta 90.00
_cell_angle_gamma 90.00
_symmetry_space_group_name_H-M 'P 4/m m m'
_symmetry_Int_Tables_number 123
_symmetry_space_group_name_Hall '-P 4 2'
loop_
_atom_site_label
_atom_site_type_symbol
_atom_site_fract_x
_atom_site_fract_y
_atom_site_fract_z
Rb1 Rb 0.0000 0.5000 0.0000
Tl1 Tl 0.0000 0.0000 0.5000
Re1 Re 0.0000 0.0000 0.0000
Ru1 Ru 0.5000 0.5000 0.5000
```

Record 7
The following is a PBE-GGA calculation of a relaxed Rb2Re3S6 crystal, from Alexandria.

Summary:
- total moment (μB/atom) = 0.00
- formation energy (no corrections) (meV per atom) = -785
- calculated density (Mg/m³) = 5.9

Structure (CIF):
```
data_Rb2Re3S6
_chemical_formula_sum 'Rb16 Re24 S48'
_cell_length_a 17.1555
_cell_length_b 9.9813
_cell_length_c 12.1643
_cell_angle_alpha 90.00
_cell_angle_beta 91.53
_cell_angle_gamma 90.00
_symmetry_space_group_name_H-M 'C 1 2/c 1'
_symmetry_Int_Tables_number 15
loop_
_symmetry_equiv_pos_as_xyz
'x,y,z'
'-x,-y,-z'
'-x,y,-z+1/2'
'x,-y,z+1/2'
'x+1/2,y+1/2,z'
'-x+1/2,-y+1/2,-z'
'-x+1/2,y+1/2,-z+1/2'
'x+1/2,-y+1/2,z+1/2'
loop_
_atom_site_label
_atom_site_type_symbol
_atom_site_fract_x
_atom_site_fract_y
_atom_site_fract_z
Rb1 Rb 0.0000 0.1190 0.2500
Rb2 Rb 0.0000 0.2874 0.7500
Rb3 Rb 0.1153 0.2473 0.0181
Re1 Re 0.1572 0.3453 0.4791
Re2 Re 0.2094 0.1102 0.4123
Re3 Re 0.2098 0.1694 0.6261
S1 S 0.0316 0.4649 0.4305
S2 S 0.0898 0.1346 0.5167
S3 S 0.1522 0.0723 0.7950
S4 S 0.1653 0.2863 0.2869
S5 S 0.1666 0.3940 0.6731
S6 S 0.2394 0.4627 0.9434
```

Record 8
The following is a PBE-GGA calculation of a relaxed Rb2ReS crystal, from Alexandria.

Summary:
- total moment (μB/atom) = 0.35
- formation energy (no corrections) (meV per atom) = 382
- calculated density (Mg/m³) = 3.5

Structure (CIF):
```
data_Rb2ReS
_chemical_formula_sum 'Rb8 Re4 S4'
_cell_length_a 12.8149
_cell_length_b 12.8149
_cell_length_c 4.4585
_cell_angle_alpha 90.00
_cell_angle_beta 90.00
_cell_angle_gamma 90.00
_symmetry_space_group_name_H-M 'I -4 2 d'
_symmetry_Int_Tables_number 122
_symmetry_space_group_name_Hall 'I -4 2bw'
loop_
_atom_site_label
_atom_site_type_symbol
_atom_site_fract_x
_atom_site_fract_y
_atom_site_fract_z
Rb1 Rb 0.0487 0.2500 0.1250
Re1 Re 0.0000 0.0000 0.5000
S1 S 0.0000 0.0000 0.0000
```

Record 9
The following is a PBE-GGA calculation of a relaxed Rb3ReS4 crystal, from Alexandria.

Summary:
- total moment (μB/atom) = 0.25
- formation energy (no corrections) (meV per atom) = -767
- calculated density (Mg/m³) = 3.3
- offset from the most stable computed form (meV/atom) = 39.2

Structure (CIF):
```
data_Rb3ReS4
_chemical_formula_sum 'Rb6 Re2 S8'
_cell_length_a 7.1489
_cell_length_b 10.2103
_cell_length_c 7.8043
_cell_angle_alpha 90.00
_cell_angle_beta 90.00
_cell_angle_gamma 90.00
_symmetry_space_group_name_H-M 'I m m 2'
_symmetry_Int_Tables_number 44
loop_
_symmetry_equiv_pos_as_xyz
'x,y,z'
'-x,-y,z'
'-x,y,z'
'x,-y,z'
'x+1/2,y+1/2,z+1/2'
'-x+1/2,-y+1/2,z+1/2'
'-x+1/2,y+1/2,z+1/2'
'x+1/2,-y+1/2,z+1/2'
loop_
_atom_site_label
_atom_site_type_symbol
_atom_site_fract_x
_atom_site_fract_y
_atom_site_fract_z
Rb1 Rb 0.0000 0.0000 0.0000
Rb2 Rb 0.0000 0.2398 0.4388
Re1 Re 0.0000 0.5000 0.0024
S1 S 0.0000 0.3171 0.8447
S2 S 0.2492 0.5000 0.1709
```

Record 10
The following is a PBE-GGA calculation of a relaxed RbReS2 crystal, from Alexandria.

Summary:
- total moment (μB/atom) = 0.41
- formation energy (no corrections) (meV per atom) = -117
- calculated density (Mg/m³) = 5.5
- offset from the most stable computed form (meV/atom) = 442.8

Structure (CIF):
```
data_RbReS2
_chemical_formula_sum 'Rb3 Re3 S6'
_cell_length_a 3.6643
_cell_length_b 3.6643
_cell_length_c 26.2938
_cell_angle_alpha 90.00
_cell_angle_beta 90.00
_cell_angle_gamma 120.00
_symmetry_space_group_name_H-M 'R -3 m'
_symmetry_Int_Tables_number 166
_symmetry_space_group_name_Hall '-R 3 2"'
loop_
_atom_site_label
_atom_site_type_symbol
_atom_site_fract_x
_atom_site_fract_y
_atom_site_fract_z
Rb1 Rb 0.0000 0.0000 0.0000
Re1 Re 0.0000 0.0000 0.5000
S1 S 0.0000 0.0000 0.1190
```

Record 11
The following is a PBE-GGA calculation of a relaxed Rb3ReS4 crystal, from Alexandria.

Summary:
- total moment (μB/atom) = 0.25
- formation energy (no corrections) (meV per atom) = -806
- calculated density (Mg/m³) = 3.4
- offset from the most stable computed form (meV/atom) = 0.0

Structure (CIF):
```
data_Rb3ReS4
_chemical_formula_sum 'Rb6 Re2 S8'
_cell_length_a 12.8335
_cell_length_b 6.6322
_cell_length_c 6.5280
_cell_angle_alpha 90.00
_cell_angle_beta 90.00
_cell_angle_gamma 90.00
_symmetry_space_group_name_H-M 'P m n 21'
_symmetry_Int_Tables_number 31
loop_
_symmetry_equiv_pos_as_xyz
'x,y,z'
'-x+1/2,-y,z+1/2'
'-x,y,z'
'x+1/2,-y,z+1/2'
loop_
_atom_site_label
_atom_site_type_symbol
_atom_site_fract_x
_atom_site_fract_y
_atom_site_fract_z
Rb1 Rb 0.0000 0.1783 0.0000
Rb2 Rb 0.2502 0.2707 0.5414
Re1 Re 0.0000 0.6512 0.4371
S1 S 0.0000 0.3204 0.4991
S2 S 0.0000 0.6767 0.0961
S3 S 0.1516 0.7807 0.5494
```

Record 12
The following is a PBE-GGA calculation of a relaxed RbReS2 crystal, from Alexandria.

Summary:
- total moment (μB/atom) = 0.00
- formation energy (no corrections) (meV per atom) = -425
- calculated density (Mg/m³) = 5.1
- offset from the most stable computed form (meV/atom) = 134.1

Structure (CIF):
```
data_RbReS2
_chemical_formula_sum 'Rb4 Re4 S8'
_cell_length_a 7.2011
_cell_length_b 7.2011
_cell_length_c 8.3836
_cell_angle_alpha 90.00
_cell_angle_beta 90.00
_cell_angle_gamma 90.00
_symmetry_space_group_name_H-M 'I -4 2 d'
_symmetry_Int_Tables_number 122
_symmetry_space_group_name_Hall 'I -4 2bw'
loop_
_atom_site_label
_atom_site_type_symbol
_atom_site_fract_x
_atom_site_fract_y
_atom_site_fract_z
Rb1 Rb 0.0000 0.0000 0.0000
Re1 Re 0.0000 0.0000 0.5000
S1 S 0.1218 0.2500 0.6250
```

Repeat the third record exactly.
The following is a PBE-GGA calculation of a relaxed RbReSiRu2 crystal, from Alexandria.

Summary:
- total moment (μB/atom) = 0.00
- formation energy (no corrections) (meV per atom) = 1220
- calculated density (Mg/m³) = 7.4

Structure (CIF):
```
data_RbReSiRu2
_chemical_formula_sum 'Rb1 Re1 Si1 Ru2'
_cell_length_a 4.8342
_cell_length_b 4.8342
_cell_length_c 4.8198
_cell_angle_alpha 90.00
_cell_angle_beta 90.00
_cell_angle_gamma 90.00
_symmetry_space_group_name_H-M 'P 4/m m m'
_symmetry_Int_Tables_number 123
_symmetry_space_group_name_Hall '-P 4 2'
loop_
_atom_site_label
_atom_site_type_symbol
_atom_site_fract_x
_atom_site_fract_y
_atom_site_fract_z
Rb1 Rb 0.0000 0.0000 0.0000
Re1 Re 0.5000 0.5000 0.5000
Si1 Si 0.5000 0.5000 0.0000
Ru1 Ru 0.0000 0.5000 0.5000
```